1.
4
Lattice="0.000 3.200 3.200 3.200 0.000 3.200 3.200 3.200 0.000" Properties=species:S:1:pos:R:3 comment="CsScN2 | Alexandria | GGA-PBE | optimized geometry" e_above_lowest_polymorph_mev_per_atom=1189.1 space_group=Fm-3m vol_a3_per_cell=65.5 pbc="T T T"
Cs 3.200 3.200 3.200
Sc 0.000 0.000 0.000
N 1.600 1.600 1.600
N 4.799 4.799 4.799

---

2.
4
Lattice="1.935 0.000 9.716 -0.967 1.676 9.716 -0.967 -1.676 9.716" Properties=species:S:1:pos:R:3 comment="CsSc2N | Alexandria | GGA-PBE | optimized geometry" space_group=R-3m vol_a3_per_cell=94.5 pbc="T T T"
Cs 0.000 0.000 0.000
Sc 0.000 0.000 25.492
Sc 0.000 0.000 3.655
N 0.000 0.000 14.574

---

3.
5
Lattice="4.240 0.000 0.000 0.000 4.240 0.000 0.000 0.000 4.240" Properties=species:S:1:pos:R:3 comment="CsScN3 | Alexandria | GGA-PBE | optimized geometry" space_group=Pm-3m vol_a3_per_cell=76.2 pbc="T T T"
Cs 0.000 0.000 0.000
Sc 2.120 2.120 2.120
N 0.000 2.120 0.000
N 0.000 0.000 2.120
N 2.120 0.000 0.000

---

4.
5
Lattice="5.446 0.000 0.000 0.000 5.446 0.000 0.000 0.000 4.505" Properties=species:S:1:pos:R:3 comment="CsScSe2N | Alexandria | GGA-PBE | optimized geometry" e_above_lowest_polymorph_mev_per_atom=0.0 space_group=P4/mmm vol_a3_per_cell=133.6 pbc="T T T"
Cs 2.723 2.723 2.252
Sc 0.000 0.000 0.000
Se 0.000 2.723 0.000
Se 2.723 0.000 0.000
N 0.000 0.000 2.252

---

5.
5
Lattice="4.667 0.000 0.000 0.000 4.667 0.000 0.000 0.000 5.319" Properties=species:S:1:pos:R:3 comment="CsScSeN2 | Alexandria | GGA-PBE | optimized geometry" e_above_lowest_polymorph_mev_per_atom=0.0 space_group=P4/mmm vol_a3_per_cell=115.9 pbc="T T T"
Cs 2.334 2.334 2.659
Sc 0.000 0.000 0.000
Se 0.000 0.000 2.659
N 0.000 2.334 0.000
N 2.334 0.000 0.000

---

6.
5
Lattice="4.244 0.000 0.000 0.000 4.244 0.000 0.000 0.000 6.318" Properties=species:S:1:pos:R:3 comment="CsScSeN2 | Alexandria | GGA-PBE | optimized geometry" e_above_lowest_polymorph_mev_per_atom=1434.8 space_group=P4/mmm vol_a3_per_cell=113.8 pbc="T T T"
Cs 0.000 0.000 0.000
Sc 2.122 2.122 3.159
Se 0.000 0.000 3.159
N 0.000 2.122 0.000
N 2.122 0.000 0.000

---

7.
5
Lattice="-2.008 -4.247 3.447 2.134 -3.989 -3.672 3.758 -0.002 2.187" Properties=species:S:1:pos:R:3 comment="CsScSe2N | Alexandria | GGA-PBE | optimized geometry" e_above_lowest_polymorph_mev_per_atom=1721.7 space_group=P4/mmm vol_a3_per_cell=147.6 pbc="T T T"
Cs 0.000 0.000 0.000
Sc 1.942 -4.119 0.981
Se 1.067 -1.994 -1.836
Se -1.004 -2.123 1.723
N 1.879 -0.001 1.093

---

8.
5
Lattice="7.507 0.000 0.000 0.000 3.928 0.000 0.000 0.000 7.507" Properties=species:S:1:pos:R:3 comment="Cs2ScSnN | Alexandria | GGA-PBE | optimized geometry" space_group=P4/mmm vol_a3_per_cell=221.3 pbc="T T T"
Cs 0.000 0.000 3.753
Cs 3.753 0.000 0.000
Sc 0.000 0.000 0.000
Sn 3.753 1.964 3.753
N 0.000 1.964 0.000

---

9.
5
Lattice="-3.095 -3.256 -4.395 0.330 -5.152 3.584 -3.480 0.978 1.726" Properties=species:S:1:pos:R:3 comment="CsScTe2N | Alexandria | GGA-PBE | optimized geometry" e_above_lowest_polymorph_mev_per_atom=0.0 space_group=P4/mmm vol_a3_per_cell=158.2 pbc="T T T"
Cs -3.122 -3.715 0.458
Sc 0.000 0.000 0.000
Te 0.165 -2.576 1.792
Te -1.548 -1.628 -2.197
N -1.740 0.489 0.863

---

10.
5
Lattice="4.339 0.000 0.000 0.000 4.339 0.000 0.000 0.000 6.728" Properties=species:S:1:pos:R:3 comment="CsScTeN2 | Alexandria | GGA-PBE | optimized geometry" e_above_lowest_polymorph_mev_per_atom=1302.5 space_group=P4/mmm vol_a3_per_cell=126.7 pbc="T T T"
Cs 0.000 0.000 0.000
Sc 2.170 2.170 3.364
Te 0.000 0.000 3.364
N 0.000 2.170 0.000
N 2.170 0.000 0.000

---

11.
5
Lattice="-4.611 0.242 -1.127 -1.152 -1.073 4.485 -0.031 5.555 1.321" Properties=species:S:1:pos:R:3 comment="CsScTeN2 | Alexandria | GGA-PBE | optimized geometry" e_above_lowest_polymorph_mev_per_atom=0.0 space_group=P4/mmm vol_a3_per_cell=129.0 pbc="T T T"
Cs -2.897 2.362 2.340
Sc 0.000 0.000 0.000
Te -0.016 2.777 0.661
N -0.576 -0.537 2.242
N -2.306 0.121 -0.563

---

12.
5
Lattice="6.263 0.000 0.000 0.000 6.263 0.000 0.000 0.000 4.370" Properties=species:S:1:pos:R:3 comment="CsScTe2N | Alexandria | GGA-PBE | optimized geometry" e_above_lowest_polymorph_mev_per_atom=1626.7 space_group=P4/mmm vol_a3_per_cell=171.4 pbc="T T T"
Cs 0.000 0.000 0.000
Sc 3.132 3.132 2.185
Te 0.000 3.132 0.000
Te 3.132 0.000 0.000
N 0.000 0.000 2.185

---

| no. | ρ (g/cm³) | formation energy from raw total energies (eV/atom) |
| --- | --- | --- |
| 1 | 5.2 | 1.16 |
| 2 | 4.2 | -0.48 |
| 3 | 4.8 | 2.24 |
| 4 | 4.3 | -0.40 |
| 5 | 4.1 | 0.26 |
| 6 | 4.2 | 1.69 |
| 7 | 3.9 | 1.32 |
| 8 | 3.3 | 0.25 |
| 9 | 4.7 | -0.25 |
| 10 | 4.4 | 1.76 |
| 11 | 4.3 | 0.46 |
| 12 | 4.3 | 1.37 |